{
  "formula": "CsRbHo",
  "functional": "PBE-GGA",
  "state": "optimized geometry",
  "cell": [[0.000, 4.841, 4.841], [4.841, 0.000, 4.841], [4.841, 4.841, 0.000]],
  "species": ["Cs", "Rb", "Ho"],
  "fractional_positions": [[0.000, 0.000, 0.000], [0.250, 0.250, 0.250], [0.750, 0.750, 0.750]],
  "final_energy_ry_per_atom": -0.076,
  "total_magnetization_mub_per_cell": 2.0
}



{
  "formula": "PuTcB2",
  "functional": "PBE-GGA",
  "state": "optimized geometry",
  "cell": [[5.798, 0.000, 0.000], [0.000, 5.374, 0.000], [0.000, 0.000, 6.413]],
  "species": ["Pu", "Pu", "Pu", "Pu", "Tc", "Tc", "Tc", "Tc", "B", "B", "B", "B", "B", "B", "B", "B"],
  "fractional_positions": [[0.000, 0.250, 0.159], [0.000, 0.750, 0.841], [0.500, 0.250, 0.341], [0.500, 0.750, 0.659], [0.189, 0.250, 0.685], [0.311, 0.750, 0.185], [0.689, 0.250, 0.815], [0.811, 0.750, 0.315], [0.129, 0.582, 0.464], [0.129, 0.918, 0.464], [0.371, 0.082, 0.964], [0.371, 0.418, 0.964], [0.629, 0.582, 0.036], [0.629, 0.918, 0.036], [0.871, 0.082, 0.536], [0.871, 0.418, 0.536]],
  "final_energy_ry_per_atom": -0.729,
  "total_magnetization_mub_per_cell": 17.1
}



{
  "formula": "CsMgHg",
  "functional": "PBE-GGA",
  "state": "optimized geometry",
  "cell": [[0.000, 4.136, 4.136], [4.136, 0.000, 4.136], [4.136, 4.136, 0.000]],
  "species": ["Cs", "Mg", "Hg"],
  "fractional_positions": [[0.000, 0.000, 0.000], [0.250, 0.250, 0.250], [0.500, 0.500, 0.500]],
  "polymorph_energy_mev_per_atom": 83.4
}



{
  "formula": "HoZr3",
  "functional": "PBE-GGA",
  "state": "optimized geometry",
  "cell": [[3.312, -5.722, 0.000], [3.312, 5.722, 0.000], [0.000, 0.000, 5.217]],
  "species": ["Ho", "Ho", "Zr", "Zr", "Zr", "Zr", "Zr", "Zr"],
  "fractional_positions": [[0.086, 0.914, 0.750], [0.914, 0.086, 0.250], [0.090, 0.427, 0.750], [0.418, 0.582, 0.250], [0.427, 0.090, 0.250], [0.573, 0.910, 0.750], [0.582, 0.418, 0.750], [0.910, 0.573, 0.250]],
  "total_magnetization_mub_per_cell": 0.0,
  "formation_enthalpy_0k_kcal_per_mol_atoms": 0.87
}